Here is a relaxed structure of HgMo2Se from the Alexandria database. Energies are from PBE-GGA.

Cell and atoms, written as POSCAR:
```
HgMo2Se
1.0
-1.552 2.404 5.091
1.552 -2.404 5.091
1.552 2.404 -5.091
Hg Mo Se
1 2 1
Direct
0.000 0.000 0.000 Hg
0.301 0.801 0.500 Mo
0.489 0.489 0.000 Mo
0.720 0.220 0.500 Se
```

Results
The value obtained for the total energy is -5.92 eV per atom. Its space group is Imm2, No. 44. Its distance to the lowest polymorph of the same formula is 0.249 eV per atom. As for the density: 10.3 g/cm³. The calculation puts the formation energy without anion corrections at 10.2 kcal/mol of atoms.

=====

Here is a relaxed structure of Hg2MoSe from the Alexandria database. Energies are from PBE-GGA.

Cell and atoms, written as POSCAR:
```
Hg2MoSe
1.0
-2.166 2.166 4.360
2.166 -2.166 4.360
2.166 2.166 -4.360
Hg Mo Se
2 1 1
Direct
0.000 0.000 0.000 Hg
0.750 0.250 0.500 Hg
0.250 0.750 0.500 Mo
0.500 0.500 0.000 Se
```

Results
The value obtained for the total energy is -3.11 eV per atom. Its space group is I-4m2, No. 119. As for the density: 11.7 g/cm³. The calculation puts the formation energy without anion corrections at 14.3 kcal/mol of atoms.

=====

Here is a relaxed structure of Hg2MoSe from the Alexandria database. Energies are from PBE-GGA.

Cell and atoms, written as POSCAR:
```
Hg2MoSe
1.0
0.000 3.506 3.506
3.506 0.000 3.506
3.506 3.506 0.000
Hg Mo Se
2 1 1
Direct
0.000 0.000 0.000 Hg
0.250 0.250 0.250 Hg
0.750 0.750 0.750 Mo
0.500 0.500 0.500 Se
```

Results
The value obtained for the total energy is -3.05 eV per atom. Its space group is F-43m, No. 216. As for the density: 11.1 g/cm³. The calculation puts the formation energy without anion corrections at 15.7 kcal/mol of atoms.

=====

Here is a relaxed structure of HgMo2Se from the Alexandria database. Energies are from PBE-GGA.

Cell and atoms, written as POSCAR:
```
HgMo2Se
1.0
4.589 -1.606 0.000
4.589 1.606 0.000
-1.371 0.000 5.361
Hg Mo Se
1 2 1
Direct
0.000 0.000 0.000 Hg
0.234 0.234 0.712 Mo
0.527 0.527 0.530 Mo
0.774 0.774 0.365 Se
```

Results
The value obtained for the total energy is -5.92 eV per atom. Its space group is Cm, No. 8. Its distance to the lowest polymorph of the same formula is 0.251 eV per atom. As for the density: 9.9 g/cm³. The calculation puts the formation energy without anion corrections at 10.3 kcal/mol of atoms.

=====

Here is a relaxed structure of HgMo2Se from the Alexandria database. Energies are from PBE-GGA.

Cell and atoms, written as POSCAR:
```
HgMo2Se
1.0
3.129 0.000 0.000
0.000 3.948 0.000
-1.480 0.000 5.708
Hg Mo Se
1 2 1
Direct
0.000 0.000 0.000 Hg
0.368 0.500 0.717 Mo
0.632 0.500 0.283 Mo
0.000 0.000 0.500 Se
```

Results
The value obtained for the total energy is -5.78 eV per atom. Its space group is P2/m, No. 10. Its distance to the lowest polymorph of the same formula is 0.391 eV per atom. As for the density: 11.1 g/cm³. The calculation puts the formation energy without anion corrections at 13.5 kcal/mol of atoms.

=====

Here is a relaxed structure of Hg2MoSe from the Alexandria database. Energies are from PBE-GGA.

Cell and atoms, written as POSCAR:
```
Hg2MoSe
1.0
-1.498 2.058 7.241
1.498 -2.058 7.241
1.498 2.058 -7.241
Hg Mo Se
2 1 1
Direct
0.184 0.184 0.000 Hg
0.816 0.816 0.000 Hg
0.000 0.500 0.500 Mo
0.500 0.000 0.500 Se
```

Results
The value obtained for the total energy is -3.43 eV per atom. Its space group is Immm, No. 71. As for the density: 10.7 g/cm³. The calculation puts the formation energy without anion corrections at 6.8 kcal/mol of atoms.

=====

Here is a relaxed structure of HgMo2Se from the Alexandria database. Energies are from PBE-GGA.

Cell and atoms, written as POSCAR:
```
HgMo2Se
1.0
1.542 -2.575 0.000
1.542 2.575 0.000
0.000 0.000 8.999
Hg Mo Se
1 2 1
Direct
0.000 0.000 0.000 Hg
0.500 0.500 0.275 Mo
0.500 0.500 0.725 Mo
0.000 0.000 0.500 Se
```

Results
The value obtained for the total energy is -5.71 eV per atom. Its space group is Cmmm, No. 65. Its distance to the lowest polymorph of the same formula is 0.460 eV per atom. As for the density: 11.0 g/cm³. The calculation puts the formation energy without anion corrections at 15.1 kcal/mol of atoms.

=====

Here is a relaxed structure of Hg2MoSe from the Alexandria database. Energies are from PBE-GGA.

Cell and atoms, written as POSCAR:
```
Hg2MoSe
1.0
3.947 0.000 0.000
0.000 3.947 0.000
0.000 0.000 6.297
Hg Mo Se
2 1 1
Direct
0.000 0.500 0.000 Hg
0.500 0.000 0.000 Hg
0.000 0.000 0.500 Mo
0.500 0.500 0.500 Se
```

Results
The value obtained for the total energy is -3.14 eV per atom. Its space group is P4/mmm, No. 123. As for the density: 9.8 g/cm³. The calculation puts the formation energy without anion corrections at 13.5 kcal/mol of atoms.

=====

Here is a relaxed structure of Hg2MoSe from the Alexandria database. Energies are from PBE-GGA.

Cell and atoms, written as POSCAR:
```
Hg2MoSe
1.0
-1.541 2.475 6.185
1.541 -2.475 6.185
1.541 2.475 -6.185
Hg Mo Se
2 1 1
Direct
0.000 0.000 0.000 Hg
0.671 0.171 0.500 Hg
0.203 0.703 0.500 Mo
0.356 0.356 0.000 Se
```

Results
The value obtained for the total energy is -3.55 eV per atom. Its space group is Imm2, No. 44. As for the density: 10.1 g/cm³. The calculation puts the formation energy without anion corrections at 4.2 kcal/mol of atoms.

=====

Here is a relaxed structure of HgMo2Se from the Alexandria database. Energies are from PBE-GGA.

Cell and atoms, written as POSCAR:
```
HgMo2Se
1.0
4.638 0.000 0.000
0.000 4.638 0.000
0.000 0.000 3.151
Hg Mo Se
1 2 1
Direct
0.000 0.000 0.000 Hg
0.000 0.500 0.500 Mo
0.500 0.000 0.500 Mo
0.500 0.500 0.000 Se
```

Results
The value obtained for the total energy is -5.76 eV per atom. Its space group is P4/mmm, No. 123. Its distance to the lowest polymorph of the same formula is 0.407 eV per atom. As for the density: 11.5 g/cm³. The calculation puts the formation energy without anion corrections at 13.9 kcal/mol of atoms.

=====

Here is a relaxed structure of HgMo2Se from the Alexandria database. Energies are from PBE-GGA.

Cell and atoms, written as POSCAR:
```
HgMo2Se
1.0
4.094 -1.546 0.000
4.094 1.546 0.000
-1.144 0.000 5.670
Hg Mo Se
1 2 1
Direct
0.000 0.000 0.000 Hg
0.244 0.244 0.704 Mo
0.756 0.756 0.296 Mo
0.500 0.500 0.500 Se
```

Results
The value obtained for the total energy is -5.87 eV per atom. Its space group is C2/m, No. 12. Its distance to the lowest polymorph of the same formula is 0.295 eV per atom. As for the density: 10.9 g/cm³. The calculation puts the formation energy without anion corrections at 11.3 kcal/mol of atoms.

=====

Here is a relaxed structure of HgMo2Se from the Alexandria database. Energies are from PBE-GGA.

Cell and atoms, written as POSCAR:
```
HgMo2Se
1.0
-2.044 2.044 4.214
2.044 -2.044 4.214
2.044 2.044 -4.214
Hg Mo Se
1 2 1
Direct
0.000 0.000 0.000 Hg
0.250 0.750 0.500 Mo
0.500 0.500 0.000 Mo
0.750 0.250 0.500 Se
```

Results
The value obtained for the total energy is -5.62 eV per atom. Its space group is I-4m2, No. 119. Its distance to the lowest polymorph of the same formula is 0.551 eV per atom. As for the density: 11.1 g/cm³. The calculation puts the formation energy without anion corrections at 17.2 kcal/mol of atoms.

=====

Here is a relaxed structure of HgMo2Se2 from the Alexandria database. Energies are from PBE-GGA.

Cell and atoms, written as POSCAR:
```
HgMo2Se2
1.0
-1.904 1.904 9.290
1.904 -1.904 9.290
1.904 1.904 -9.290
Hg Mo Se
1 2 2
Direct
0.000 0.000 0.000 Hg
0.250 0.750 0.500 Mo
0.750 0.250 0.500 Mo
0.344 0.344 0.000 Se
0.656 0.656 0.000 Se
```

Results
The value obtained for the total energy is -5.96 eV per atom. Its space group is I4/mmm, No. 139. Its distance to the lowest polymorph of the same formula is 0.000 eV per atom. As for the density: 6.8 g/cm³. The calculation puts the formation energy without anion corrections at -3.9 kcal/mol of atoms.

=====

Here is a relaxed structure of HgMo2Se from the Alexandria database. Energies are from PBE-GGA.

Cell and atoms, written as POSCAR:
```
HgMo2Se
1.0
3.257 0.000 0.000
0.000 4.652 0.000
0.000 0.000 4.713
Hg Mo Se
1 2 1
Direct
0.000 0.000 0.000 Hg
0.000 0.500 0.500 Mo
0.500 0.500 0.000 Mo
0.500 0.000 0.500 Se
```

Results
The value obtained for the total energy is -5.64 eV per atom. Its space group is Pmmm, No. 47. Its distance to the lowest polymorph of the same formula is 0.528 eV per atom. As for the density: 11.0 g/cm³. The calculation puts the formation energy without anion corrections at 16.6 kcal/mol of atoms.

=====

Here is a relaxed structure of Ta2HgMoSe from the Alexandria database. Energies are from PBE-GGA.

Cell and atoms, written as POSCAR:
```
Ta2HgMoSe
1.0
4.835 0.000 0.000
0.000 4.835 0.000
0.000 0.000 5.239
Ta Hg Mo Se
2 1 1 1
Direct
0.000 0.500 0.000 Ta
0.500 0.000 0.000 Ta
0.000 0.000 0.500 Hg
0.000 0.000 0.000 Mo
0.500 0.500 0.500 Se
```

Results
The value obtained for the total energy is -6.31 eV per atom. Its space group is P4/mmm, No. 123. As for the density: 10.0 g/cm³. The calculation puts the formation energy without anion corrections at 31.3 kcal/mol of atoms.